No. 1
# NaCdFeP (PBE, optimized geometry)
# * D(E_F): 4.5 states/eV/cell
# * space group: P4/nmm
# * volume: 161 Å³ per cell
# * ΔH_f (0 K): -292 meV per atom
data_NaCdFeP
_chemical_formula_sum 'Na2 Cd2 Fe2 P2'
_cell_length_a 3.876
_cell_length_b 3.876
_cell_length_c 10.712
_cell_angle_alpha 90.00
_cell_angle_beta 90.00
_cell_angle_gamma 90.00
_space_group_name_H-M_alt 'P 1'
_space_group_IT_number 1
loop_
_space_group_symop_operation_xyz
'x,y,z'
loop_
_atom_site_label
_atom_site_type_symbol
_atom_site_fract_x
_atom_site_fract_y
_atom_site_fract_z
Na1 Na 0.250 0.250 0.231
Na2 Na 0.750 0.750 0.769
Cd1 Cd 0.250 0.750 0.500
Cd2 Cd 0.750 0.250 0.500
Fe1 Fe 0.250 0.750 0.000
Fe2 Fe 0.750 0.250 0.000
P1 P 0.250 0.250 0.901
P2 P 0.750 0.750 0.099

No. 2
# Rb2NaCdFe (PBE, optimized geometry)
# * D(E_F): 7.7 states/eV/cell
# * space group: P4/mmm
# * volume: 276 Å³ per cell
# * ΔH_f (0 K): 863 meV per atom
data_Rb2NaCdFe
_chemical_formula_sum 'Rb2 Na1 Cd1 Fe1'
_cell_length_a 6.870
_cell_length_b 6.870
_cell_length_c 5.845
_cell_angle_alpha 90.00
_cell_angle_beta 90.00
_cell_angle_gamma 90.00
_space_group_name_H-M_alt 'P 1'
_space_group_IT_number 1
loop_
_space_group_symop_operation_xyz
'x,y,z'
loop_
_atom_site_label
_atom_site_type_symbol
_atom_site_fract_x
_atom_site_fract_y
_atom_site_fract_z
Rb1 Rb 0.000 0.500 0.000
Rb2 Rb 0.500 0.000 0.000
Na1 Na 0.000 0.000 0.500
Cd1 Cd 0.000 0.000 0.000
Fe1 Fe 0.500 0.500 0.500

No. 3
# NaSrCdFe2 (PBE, optimized geometry)
# * D(E_F): 6.9 states/eV/cell
# * space group: P4/mmm
# * volume: 147 Å³ per cell
# * ΔH_f (0 K): 1617 meV per atom
data_NaSrCdFe2
_chemical_formula_sum 'Na1 Sr1 Cd1 Fe2'
_cell_length_a 5.138
_cell_length_b 5.138
_cell_length_c 5.579
_cell_angle_alpha 90.00
_cell_angle_beta 90.00
_cell_angle_gamma 90.00
_space_group_name_H-M_alt 'P 1'
_space_group_IT_number 1
loop_
_space_group_symop_operation_xyz
'x,y,z'
loop_
_atom_site_label
_atom_site_type_symbol
_atom_site_fract_x
_atom_site_fract_y
_atom_site_fract_z
Na1 Na 0.000 0.000 0.000
Sr1 Sr 0.000 0.000 0.500
Cd1 Cd 0.500 0.500 0.000
Fe1 Fe 0.000 0.500 0.500
Fe2 Fe 0.500 0.000 0.500

No. 4
# Nb2Cd2Fe (PBE, optimized geometry)
# * D(E_F): 9.1 states/eV/cell
# * space group: I4/mmm
# * E above lowest polymorph: 24.7 kJ per mole of atoms
# * volume: 206 Å³ per cell
# * ΔH_f (0 K): 778 meV per atom
data_Nb2Cd2Fe
_chemical_formula_sum 'Nb4 Cd4 Fe2'
_cell_length_a 3.783
_cell_length_b 3.783
_cell_length_c 14.358
_cell_angle_alpha 90.00
_cell_angle_beta 90.00
_cell_angle_gamma 90.00
_space_group_name_H-M_alt 'P 1'
_space_group_IT_number 1
loop_
_space_group_symop_operation_xyz
'x,y,z'
loop_
_atom_site_label
_atom_site_type_symbol
_atom_site_fract_x
_atom_site_fract_y
_atom_site_fract_z
Nb1 Nb 0.000 0.000 0.081
Nb2 Nb 0.000 0.000 0.919
Nb3 Nb 0.500 0.500 0.419
Nb4 Nb 0.500 0.500 0.581
Cd1 Cd 0.000 0.500 0.250
Cd2 Cd 0.000 0.500 0.750
Cd3 Cd 0.500 0.000 0.250
Cd4 Cd 0.500 0.000 0.750
Fe1 Fe 0.000 0.000 0.500
Fe2 Fe 0.500 0.500 0.000

No. 5
# NbCdFe3 (PBE, optimized geometry)
# * D(E_F): 7.6 states/eV/cell
# * space group: Pm-3m
# * E above lowest polymorph: 42.4 kJ per mole of atoms
# * volume: 102 Å³ per cell
# * ΔH_f (0 K): 1760 meV per atom
data_NbCdFe3
_chemical_formula_sum 'Nb1 Cd1 Fe3'
_cell_length_a 4.668
_cell_length_b 4.668
_cell_length_c 4.668
_cell_angle_alpha 90.00
_cell_angle_beta 90.00
_cell_angle_gamma 90.00
_space_group_name_H-M_alt 'P 1'
_space_group_IT_number 1
loop_
_space_group_symop_operation_xyz
'x,y,z'
loop_
_atom_site_label
_atom_site_type_symbol
_atom_site_fract_x
_atom_site_fract_y
_atom_site_fract_z
Nb1 Nb 0.000 0.000 0.000
Cd1 Cd 0.500 0.500 0.500
Fe1 Fe 0.000 0.500 0.500
Fe2 Fe 0.500 0.000 0.500
Fe3 Fe 0.500 0.500 0.000

No. 6
# NbCd2Fe (PBE, optimized geometry)
# * D(E_F): 32.9 states/eV/cell
# * space group: I-42d
# * E above lowest polymorph: 22.2 kJ per mole of atoms
# * volume: 301 Å³ per cell
# * ΔH_f (0 K): 856 meV per atom
data_NbCd2Fe
_chemical_formula_sum 'Nb4 Cd8 Fe4'
_cell_length_a 7.637
_cell_length_b 7.637
_cell_length_c 5.153
_cell_angle_alpha 90.00
_cell_angle_beta 90.00
_cell_angle_gamma 90.00
_space_group_name_H-M_alt 'P 1'
_space_group_IT_number 1
loop_
_space_group_symop_operation_xyz
'x,y,z'
loop_
_atom_site_label
_atom_site_type_symbol
_atom_site_fract_x
_atom_site_fract_y
_atom_site_fract_z
Nb1 Nb 0.000 0.000 0.000
Nb2 Nb 0.000 0.500 0.250
Nb3 Nb 0.500 0.000 0.750
Nb4 Nb 0.500 0.500 0.500
Cd1 Cd 0.210 0.250 0.625
Cd2 Cd 0.250 0.710 0.875
Cd3 Cd 0.250 0.790 0.375
Cd4 Cd 0.290 0.250 0.125
Cd5 Cd 0.710 0.750 0.125
Cd6 Cd 0.750 0.210 0.375
Cd7 Cd 0.750 0.290 0.875
Cd8 Cd 0.790 0.750 0.625
Fe1 Fe 0.000 0.000 0.500
Fe2 Fe 0.000 0.500 0.750
Fe3 Fe 0.500 0.000 0.250
Fe4 Fe 0.500 0.500 0.000